DFT (PBE) results for a relaxed structure of Pr2InH2.

POSCAR file:
```
Pr2InH2
1.0
4.042 0.000 0.000
0.000 4.042 0.000
0.000 0.000 12.371
Pr In H
4 2 4
Cartesian
0.000 0.000 1.858 Pr
0.000 0.000 10.513 Pr
2.021 2.021 4.327 Pr
2.021 2.021 8.044 Pr
0.000 0.000 6.186 In
2.021 2.021 0.000 In
0.000 2.021 3.093 H
0.000 2.021 9.279 H
2.021 0.000 3.093 H
2.021 0.000 9.279 H
```

- Density of states at the Fermi level: 4.2 states/eV per cell
- Total magnetic moment: 0.0 μB/cell
- Crystal system: tetragonal
- ρ: 6.552 g/cm³
- Volume: 20.208 Å³ per atom
- E: -4.3903 eV/atom

---

DFT (PBE) results for a relaxed structure of SmTm3Sb3.

POSCAR file:
```
SmTm3Sb3
1.0
9.160 0.000 0.000
0.000 9.160 0.000
0.000 0.000 9.160
Sm Tm Sb
4 12 12
Cartesian
0.642 3.939 5.222 Sm
3.939 5.222 0.642 Sm
5.222 0.642 3.939 Sm
8.519 8.519 8.519 Sm
0.709 5.289 8.451 Tm
1.626 7.534 2.954 Tm
1.645 1.645 1.645 Tm
2.935 7.515 6.225 Tm
2.954 1.626 7.534 Tm
3.871 3.871 3.871 Tm
5.289 8.451 0.709 Tm
6.206 6.206 6.206 Tm
6.225 2.935 7.515 Tm
7.515 6.225 2.935 Tm
7.534 2.954 1.626 Tm
8.451 0.709 5.289 Tm
0.018 2.353 8.046 Sb
1.114 4.598 2.227 Sb
2.227 1.114 4.598 Sb
2.353 8.046 0.018 Sb
3.466 4.563 6.807 Sb
4.563 6.807 3.466 Sb
4.598 2.227 1.114 Sb
5.694 9.143 6.933 Sb
6.807 3.466 4.563 Sb
6.933 5.694 9.143 Sb
8.046 0.018 2.353 Sb
9.143 6.933 5.694 Sb
```

- Density of states at the Fermi level: 26.9 states/eV per cell
- Total magnetic moment: 0.0 μB/cell
- E above lowest polymorph: 0.000 eV per atom
- Formation energy (no corrections): -0.94 eV per atom
- Crystal system: cubic
- ρ: 8.836 g/cm³
- Volume: 27.450 Å³ per atom

---

DFT (PBE) results for a relaxed structure of Li2AcBi2.

POSCAR file:
```
Li2AcBi2
1.0
4.927 0.000 0.000
0.000 4.927 0.000
0.000 0.000 11.149
Li Ac Bi
4 2 4
Cartesian
1.232 1.232 1.349 Li
1.232 3.695 5.574 Li
3.695 1.232 5.574 Li
3.695 3.695 9.799 Li
1.232 1.232 8.445 Ac
3.695 3.695 2.703 Ac
1.232 1.232 4.040 Bi
1.232 3.695 0.000 Bi
3.695 1.232 0.000 Bi
3.695 3.695 7.108 Bi
```

- Formation energy: -683 meV per atom
- Density of states at the Fermi level: 0.8 states/eV per cell
- Total magnetic moment: 0.0 μB/cell
- Crystal system: tetragonal
- ρ: 8.086 g/cm³
- Volume: 27.059 Å³ per atom

---

DFT (PBE) results for a relaxed structure of Li2NpRuO6.

POSCAR file:
```
Li2NpRuO6
1.0
5.141 -4.532 0.000
5.141 4.532 0.000
-0.835 0.000 5.281
Li Np Ru O
4 2 2 12
Cartesian
1.692 0.785 1.712 Li
1.275 -0.785 4.353 Li
8.172 0.785 0.928 Li
7.754 -0.785 3.569 Li
4.932 2.386 1.320 Np
4.515 -2.386 3.961 Np
4.515 0.847 3.961 Ru
4.932 -0.847 1.320 Ru
0.731 0.873 3.428 O
3.290 2.229 4.649 O
1.149 -0.873 0.787 O
3.715 0.717 2.052 O
5.740 2.229 3.272 O
3.297 -0.717 4.692 O
6.150 0.717 0.589 O
3.707 -2.229 2.008 O
5.732 -0.717 3.229 O
8.298 0.873 4.494 O
6.157 -2.229 0.632 O
8.716 -0.873 1.853 O
```

- Density of states at the Fermi level: 10.6 states/eV per cell
- Total magnetic moment: 2.1 μB/cell
- Formation energy (no corrections): -1.98 eV per atom
- Crystal system: monoclinic
- ρ: 6.045 g/cm³
- Volume: 12.304 Å³ per atom

---

DFT (PBE) results for a relaxed structure of Na12HgPb3.

POSCAR file:
```
Na12HgPb3
1.0
4.917 0.000 0.000
0.000 4.917 0.000
0.000 0.000 19.803
Na Hg Pb
12 1 3
Cartesian
0.000 0.000 0.000 Na
0.000 0.000 4.866 Na
0.000 0.000 9.901 Na
0.000 0.000 14.937 Na
0.000 2.459 2.427 Na
0.000 2.459 7.387 Na
0.000 2.459 12.416 Na
0.000 2.459 17.376 Na
2.459 0.000 2.427 Na
2.459 0.000 7.387 Na
2.459 0.000 12.416 Na
2.459 0.000 17.376 Na
2.459 2.459 0.000 Hg
2.459 2.459 4.846 Pb
2.459 2.459 9.901 Pb
2.459 2.459 14.957 Pb
```

- Formation energy: -102 meV per atom
- Density of states at the Fermi level: 7.8 states/eV per cell
- Total magnetic moment: 0.0 μB/cell
- Crystal system: tetragonal
- ρ: 3.808 g/cm³
- Volume: 29.923 Å³ per atom

---

DFT (PBE) results for a relaxed structure of La2Nd4Tm3.

POSCAR file:
```
La2Nd4Tm3
1.0
3.634 0.000 0.000
-1.817 3.147 0.000
0.000 0.000 27.130
La Nd Tm
2 4 3
Cartesian
0.000 0.000 0.000 La
0.000 0.000 5.772 La
0.000 0.000 9.440 Nd
0.000 0.000 15.116 Nd
0.000 2.098 18.218 Nd
0.000 2.098 23.933 Nd
0.000 0.000 21.088 Tm
0.000 2.098 2.919 Tm
0.000 2.098 12.239 Tm
```

- Formation energy: 53 meV per atom
- Density of states at the Fermi level: 15.9 states/eV per cell
- Total magnetic moment: 0.0 μB/cell
- E above lowest polymorph: 0.026 eV per atom
- Crystal system: trigonal
- ρ: 7.288 g/cm³
- Volume: 34.469 Å³ per atom

---

DFT (PBE) results for a relaxed structure of PmTmSiGe.

POSCAR file:
```
PmTmSiGe
1.0
7.162 0.000 0.000
0.000 7.162 0.000
0.000 0.000 7.162
Pm Tm Si Ge
4 4 4 4
Cartesian
0.000 0.000 0.000 Pm
0.000 3.581 3.581 Pm
3.581 0.000 3.581 Pm
3.581 3.581 0.000 Pm
0.000 0.000 3.581 Tm
0.000 3.581 0.000 Tm
3.581 0.000 0.000 Tm
3.581 3.581 3.581 Tm
1.791 1.791 5.372 Si
1.791 5.372 1.791 Si
5.372 1.791 1.791 Si
5.372 5.372 5.372 Si
1.791 1.791 1.791 Ge
1.791 5.372 5.372 Ge
5.372 1.791 5.372 Ge
5.372 5.372 1.791 Ge
```

- Density of states at the Fermi level: 14.5 states/eV per cell
- Total magnetic moment: 0.0 μB/cell
- E above lowest polymorph: 0.326 eV per atom
- Formation energy (no corrections): -0.47 eV per atom
- Crystal system: cubic
- ρ: 7.496 g/cm³
- Volume: 22.963 Å³ per atom

---

DFT (PBE) results for a relaxed structure of InCoCu2.

POSCAR file:
```
InCoCu2
1.0
2.759 0.000 0.000
0.000 4.405 0.000
-0.420 0.000 4.698
In Co Cu
1 1 2
Cartesian
0.000 0.000 0.000 In
1.170 0.000 2.349 Co
0.440 2.203 3.404 Cu
1.899 2.203 1.294 Cu
```

- Formation energy: 232 meV per atom
- Density of states at the Fermi level: 3.6 states/eV per cell
- Total magnetic moment: 1.2 μB/cell
- Crystal system: monoclinic
- ρ: 8.748 g/cm³
- Volume: 14.276 Å³ per atom

---

DFT (PBE) results for a relaxed structure of CaLuInIr.

POSCAR file:
```
CaLuInIr
1.0
7.091 0.000 0.000
0.000 7.091 0.000
0.000 0.000 7.091
Ca Lu In Ir
4 4 4 4
Cartesian
0.000 0.000 0.000 Ca
0.000 3.546 3.546 Ca
3.546 0.000 3.546 Ca
3.546 3.546 0.000 Ca
0.000 0.000 3.546 Lu
0.000 3.546 0.000 Lu
3.546 0.000 0.000 Lu
3.546 3.546 3.546 Lu
1.773 1.773 5.318 In
1.773 5.318 1.773 In
5.318 1.773 1.773 In
5.318 5.318 5.318 In
1.773 1.773 1.773 Ir
1.773 5.318 5.318 Ir
5.318 1.773 5.318 Ir
5.318 5.318 1.773 Ir
```

- Formation energy: -417 meV per atom
- Density of states at the Fermi level: 12.1 states/eV per cell
- Total magnetic moment: 0.0 μB/cell
- Crystal system: cubic
- ρ: 9.725 g/cm³
- Volume: 22.286 Å³ per atom

---

DFT (PBE) results for a relaxed structure of SrScHg3.

POSCAR file:
```
SrScHg3
1.0
5.852 0.000 0.000
0.000 5.852 0.000
0.000 0.000 5.852
Sr Sc Hg
1 1 3
Cartesian
0.000 0.000 0.000 Sr
2.926 2.926 2.926 Sc
0.000 0.000 2.926 Hg
0.000 2.926 0.000 Hg
2.926 0.000 0.000 Hg
```

- Formation energy: 581 meV per atom
- Density of states at the Fermi level: 5.7 states/eV per cell
- Total magnetic moment: 1.6 μB/cell
- E above lowest polymorph: 0.675 eV per atom
- Crystal system: cubic
- ρ: 6.086 g/cm³
- Volume: 40.072 Å³ per atom

---

DFT (PBE) results for a relaxed structure of CsOsSeN2.

POSCAR file:
```
CsOsSeN2
1.0
4.167 0.000 0.000
0.000 4.167 0.000
0.000 0.000 6.898
Cs Os Se N
1 1 1 2
Cartesian
0.000 0.000 0.000 Cs
2.083 2.083 3.449 Os
0.000 0.000 3.449 Se
0.000 2.083 0.000 N
2.083 0.000 0.000 N
```

- Density of states at the Fermi level: 5.4 states/eV per cell
- Total magnetic moment: 4.5 μB/cell
- E above lowest polymorph: 2.394 eV per atom
- Formation energy (no corrections): 3.19 eV per atom
- Crystal system: tetragonal
- ρ: 5.964 g/cm³
- Volume: 23.951 Å³ per atom

---

DFT (PBE) results for a relaxed structure of CsTl3.

POSCAR file:
```
CsTl3
1.0
5.377 0.000 0.000
0.000 5.377 0.000
0.000 0.000 5.377
Cs Tl
1 3
Cartesian
0.000 0.000 0.000 Cs
0.000 2.689 2.689 Tl
2.689 0.000 2.689 Tl
2.689 2.689 0.000 Tl
```

- Formation energy: 108 meV per atom
- Density of states at the Fermi level: 4.0 states/eV per cell
- Total magnetic moment: 0.0 μB/cell
- Crystal system: cubic
- ρ: 7.968 g/cm³
- Volume: 38.870 Å³ per atom

---

DFT (PBE) results for a relaxed structure of Li2CaHgN.

POSCAR file:
```
Li2CaHgN
1.0
4.348 0.000 0.000
0.000 4.348 0.000
0.000 0.000 4.761
Li Ca Hg N
2 1 1 1
Cartesian
0.000 2.174 0.000 Li
2.174 0.000 0.000 Li
0.000 0.000 2.381 Ca
2.174 2.174 2.381 Hg
0.000 0.000 0.000 N
```

- Density of states at the Fermi level: 3.1 states/eV per cell
- Total magnetic moment: 0.0 μB/cell
- Formation energy (no corrections): -0.36 eV per atom
- Crystal system: tetragonal
- ρ: 4.955 g/cm³
- Volume: 18.002 Å³ per atom

---

DFT (PBE) results for a relaxed structure of ScMn2Cr.

POSCAR file:
```
ScMn2Cr
1.0
2.758 0.000 0.000
0.000 3.753 0.000
-1.284 0.000 5.299
Sc Mn Cr
1 2 1
Cartesian
0.000 0.000 0.000 Sc
-0.090 1.877 3.690 Mn
1.564 1.877 1.609 Mn
0.737 0.000 2.649 Cr
```

- Formation energy: 215 meV per atom
- Density of states at the Fermi level: 4.3 states/eV per cell
- Total magnetic moment: 0.7 μB/cell
- E above lowest polymorph: 0.156 eV per atom
- Crystal system: monoclinic
- ρ: 6.261 g/cm³
- Volume: 13.714 Å³ per atom

---

DFT (PBE) results for a relaxed structure of LiCa2Pb2.

POSCAR file:
```
LiCa2Pb2
1.0
7.905 0.000 0.000
0.000 7.905 0.000
0.000 0.000 4.788
Li Ca Pb
2 4 4
Cartesian
0.000 0.000 0.000 Li
3.952 3.952 0.000 Li
1.288 2.664 2.394 Ca
2.664 6.617 2.394 Ca
5.241 1.288 2.394 Ca
6.617 5.241 2.394 Ca
1.118 5.071 0.000 Pb
2.834 1.118 0.000 Pb
5.071 6.787 0.000 Pb
6.787 2.834 0.000 Pb
```

- Formation energy: -441 meV per atom
- Density of states at the Fermi level: 4.6 states/eV per cell
- Total magnetic moment: 0.0 μB/cell
- E above lowest polymorph: 0.033 eV per atom
- Crystal system: tetragonal
- ρ: 5.567 g/cm³
- Volume: 29.916 Å³ per atom

---

DFT (PBE) results for a relaxed structure of LaMg2Mo.

POSCAR file:
```
LaMg2Mo
1.0
3.073 0.000 0.000
0.000 4.770 0.000
-1.533 0.000 6.343
La Mg Mo
1 2 1
Cartesian
0.000 0.000 0.000 La
-0.047 0.000 3.386 Mg
1.517 2.385 2.268 Mg
0.021 2.385 4.979 Mo
```

- Formation energy: 399 meV per atom
- Density of states at the Fermi level: 3.6 states/eV per cell
- Total magnetic moment: 0.0 μB/cell
- E above lowest polymorph: 0.101 eV per atom
- Crystal system: monoclinic
- ρ: 5.063 g/cm³
- Volume: 23.243 Å³ per atom

---

DFT (PBE) results for a relaxed structure of PmYTm2P4.

POSCAR file:
```
PmYTm2P4
1.0
6.945 0.000 0.000
0.000 4.014 0.000
-2.317 0.000 6.550
Pm Y Tm P
1 1 2 4
Cartesian
0.000 0.000 0.000 Pm
-1.158 2.007 3.275 Y
2.314 0.000 3.275 Tm
3.473 2.007 0.000 Tm
0.047 0.000 4.907 P
1.206 2.007 1.677 P
3.423 2.007 4.873 P
4.582 0.000 1.643 P
```

- Formation energy: -1593 meV per atom
- Density of states at the Fermi level: 0.9 states/eV per cell
- Total magnetic moment: 0.0 μB/cell
- Crystal system: monoclinic
- ρ: 6.326 g/cm³
- Volume: 22.825 Å³ per atom

---

DFT (PBE) results for a relaxed structure of LaSb2IF.

POSCAR file:
```
LaSb2IF
1.0
6.294 0.000 0.000
0.000 6.294 0.000
0.000 0.000 6.151
La Sb I F
1 2 1 1
Cartesian
0.000 0.000 0.000 La
0.000 3.147 0.000 Sb
3.147 0.000 0.000 Sb
0.000 0.000 3.075 I
3.147 3.147 3.075 F
```

- Density of states at the Fermi level: 11.9 states/eV per cell
- Total magnetic moment: 2.2 μB/cell
- E above lowest polymorph: 0.872 eV per atom
- Formation energy (no corrections): -0.03 eV per atom
- Crystal system: tetragonal
- ρ: 3.600 g/cm³
- Volume: 48.735 Å³ per atom

---

DFT (PBE) results for a relaxed structure of KNiCl2.

POSCAR file:
```
KNiCl2
1.0
3.629 0.000 0.000
0.000 11.481 0.000
0.000 0.000 7.755
K Ni Cl
2 2 4
Cartesian
0.000 0.000 0.000 K
1.815 5.741 0.000 K
0.000 0.000 3.878 Ni
1.815 5.741 3.878 Ni
0.000 5.741 2.351 Cl
0.000 5.741 5.404 Cl
1.815 0.000 2.351 Cl
1.815 0.000 5.404 Cl
```

- Density of states at the Fermi level: 0.3 states/eV per cell
- Total magnetic moment: 2.0 μB/cell
- E above lowest polymorph: 0.156 eV per atom
- Formation energy (no corrections): -0.81 eV per atom
- Crystal system: orthorhombic
- ρ: 1.734 g/cm³
- Volume: 40.394 Å³ per atom

---

DFT (PBE) results for a relaxed structure of Li5Mg2Ag3.

POSCAR file:
```
Li5Mg2Ag3
1.0
4.939 -6.494 0.000
4.939 6.494 0.000
-0.447 0.000 5.524
Li Mg Ag
10 4 6
Cartesian
4.604 6.024 4.143 Li
2.100 0.519 5.440 Li
3.547 1.881 2.132 Li
2.324 -0.519 2.677 Li
6.108 1.881 0.630 Li
3.323 -1.881 4.894 Li
7.107 0.519 2.847 Li
5.884 -1.881 3.392 Li
7.331 -0.519 0.085 Li
4.827 -6.024 1.381 Li
3.311 3.291 4.823 Mg
5.897 3.291 3.464 Mg
3.534 -3.291 2.061 Mg
6.120 -3.291 0.702 Mg
3.522 4.520 2.091 Ag
6.133 4.520 0.671 Ag
4.604 0.538 4.143 Ag
4.827 -0.538 1.381 Ag
3.298 -4.520 4.853 Ag
5.909 -4.520 3.433 Ag
```

- Formation energy: -158 meV per atom
- Density of states at the Fermi level: 7.9 states/eV per cell
- Total magnetic moment: 0.0 μB/cell
- Crystal system: monoclinic
- ρ: 3.814 g/cm³
- Volume: 17.719 Å³ per atom

---

DFT (PBE) results for a relaxed structure of Tl2Cu3PdF12.

POSCAR file:
```
Tl2Cu3PdF12
1.0
3.551 2.050 6.588
-3.551 2.050 6.588
0.000 -4.100 6.588
Tl Cu Pd F
2 3 1 12
Cartesian
0.000 0.000 2.158 Tl
0.000 0.000 17.606 Tl
-1.775 -1.025 6.588 Cu
-1.775 1.025 13.176 Cu
0.000 2.050 6.588 Cu
0.000 0.000 9.882 Pd
0.000 -1.649 6.156 F
-1.428 0.824 6.156 F
-1.416 -0.818 8.780 F
-1.428 -0.824 13.608 F
0.000 -1.635 10.985 F
-1.416 0.818 10.985 F
1.416 -0.818 8.780 F
0.000 1.635 8.780 F
1.428 0.824 6.156 F
1.416 0.818 10.985 F
1.428 -0.824 13.608 F
0.000 1.649 13.608 F
```

- Density of states at the Fermi level: 1.6 states/eV per cell
- Total magnetic moment: 2.9 μB/cell
- Formation energy (no corrections): -1.57 eV per atom
- Crystal system: trigonal
- ρ: 5.389 g/cm³
- Volume: 15.985 Å³ per atom

---

DFT (PBE) results for a relaxed structure of LiIn.

POSCAR file:
```
LiIn
1.0
3.789 0.000 0.000
0.000 4.598 0.000
0.000 0.000 9.405
Li In
4 4
Cartesian
0.000 1.149 1.208 Li
0.000 3.448 8.197 Li
1.894 1.149 3.494 Li
1.894 3.448 5.911 Li
0.000 1.149 5.824 In
0.000 3.448 3.580 In
1.894 1.149 8.283 In
1.894 3.448 1.122 In
```

- Formation energy: -225 meV per atom
- Density of states at the Fermi level: 3.0 states/eV per cell
- Total magnetic moment: 0.0 μB/cell
- Crystal system: orthorhombic
- ρ: 4.937 g/cm³
- Volume: 20.478 Å³ per atom

---

DFT (PBE) results for a relaxed structure of ZnHgOF2.

POSCAR file:
```
ZnHgOF2
1.0
4.315 0.000 0.000
0.000 4.315 0.000
0.000 0.000 5.618
Zn Hg O F
1 1 1 2
Cartesian
0.000 0.000 0.000 Zn
0.000 0.000 2.809 Hg
2.157 2.157 0.000 O
0.000 2.157 2.809 F
2.157 0.000 2.809 F
```

- Density of states at the Fermi level: 1.5 states/eV per cell
- Total magnetic moment: 1.6 μB/cell
- E above lowest polymorph: 1.026 eV per atom
- Formation energy (no corrections): -0.18 eV per atom
- Crystal system: tetragonal
- ρ: 5.080 g/cm³
- Volume: 20.919 Å³ per atom

---

DFT (PBE) results for a relaxed structure of La2Tc2Sb.

POSCAR file:
```
La2Tc2Sb
1.0
7.189 0.000 0.000
0.000 7.189 0.000
0.000 0.000 4.693
La Tc Sb
4 4 2
Cartesian
1.312 2.282 0.000 La
2.282 5.876 0.000 La
4.907 1.312 0.000 La
5.876 4.907 0.000 La
0.807 4.401 2.346 Tc
2.788 0.807 2.346 Tc
4.401 6.382 2.346 Tc
6.382 2.788 2.346 Tc
0.000 0.000 2.346 Sb
3.594 3.594 2.346 Sb
```

- Density of states at the Fermi level: 20.2 states/eV per cell
- Total magnetic moment: 0.0 μB/cell
- Formation energy (no corrections): -0.23 eV per atom
- Crystal system: tetragonal
- ρ: 8.156 g/cm³
- Volume: 24.252 Å³ per atom